one:
Compound: ZnGeAs2
Source: Alexandria
Functional: GGA-PBEsol
Structure: optimized geometry

Structure (POSCAR):
```
ZnGeAs2
1.0
4.011 0.000 0.000
-2.006 3.474 0.000
0.000 0.000 19.419
Zn Ge As
3 3 6
direct
0.000 0.000 0.000
0.333 0.667 0.667
0.667 0.333 0.333
0.000 0.000 0.485
0.333 0.667 0.151
0.667 0.333 0.818
0.000 0.000 0.361
0.000 0.000 0.871
0.333 0.667 0.028
0.333 0.667 0.538
0.667 0.333 0.204
0.667 0.333 0.695
```

Values from the calculation:
Volume, Å³/atom: 22.55
SG: R3m, No. 160


two:
Compound: ZnGeAs2
Source: Alexandria
Functional: GGA-PBEsol
Structure: optimized geometry

Structure (POSCAR):
```
ZnGeAs2
1.0
3.977 0.000 0.000
0.000 3.977 0.000
0.000 0.000 5.658
Zn Ge As
1 1 2
direct
0.000 0.000 0.000
0.500 0.500 0.500
0.000 0.500 0.759
0.500 0.000 0.241
```

Values from the calculation:
Volume, Å³/atom: 22.38
SG: P-4m2, No. 115


The most stable of them is two.


one:
Compound: SnAsH2
Source: Alexandria
Functional: GGA-PBEsol
Structure: optimized geometry

Structure (POSCAR):
```
SnAsH2
1.0
4.354 0.000 0.000
0.000 4.354 0.000
0.000 0.000 11.624
Sn As H
4 4 8
direct
0.000 0.000 0.000
0.000 0.500 0.250
0.500 0.000 0.750
0.500 0.500 0.500
0.000 0.000 0.500
0.000 0.500 0.750
0.500 0.000 0.250
0.500 0.500 0.000
0.057 0.250 0.625
0.250 0.557 0.875
0.250 0.943 0.375
0.443 0.250 0.125
0.557 0.750 0.125
0.750 0.057 0.375
0.750 0.443 0.875
0.943 0.750 0.625
```

Values from the calculation:
Volume, Å³/atom: 13.77
SG: I-42d, No. 122


two:
Compound: SnAsH2
Source: Alexandria
Functional: GGA-PBEsol
Structure: optimized geometry

Structure (POSCAR):
```
SnAsH2
1.0
5.807 0.000 0.000
0.000 5.807 0.000
0.000 0.000 5.807
Sn As H
4 4 8
direct
0.000 0.000 0.000
0.000 0.500 0.500
0.500 0.000 0.500
0.500 0.500 0.000
0.000 0.000 0.500
0.000 0.500 0.000
0.500 0.000 0.000
0.500 0.500 0.500
0.250 0.250 0.250
0.250 0.250 0.750
0.250 0.750 0.250
0.250 0.750 0.750
0.750 0.250 0.250
0.750 0.250 0.750
0.750 0.750 0.250
0.750 0.750 0.750
```

Values from the calculation:
Volume, Å³/atom: 12.24
SG: Fm-3m, No. 225


The most stable of them is one.


one:
Compound: HfAs2PdSe
Source: Alexandria
Functional: GGA-PBEsol
Structure: optimized geometry

Structure (POSCAR):
```
HfAs2PdSe
1.0
5.046 0.000 0.000
0.000 5.046 0.000
0.000 0.000 4.975
Hf As Pd Se
1 2 1 1
direct
0.000 0.000 0.000
0.000 0.500 0.000
0.500 0.000 0.000
0.500 0.500 0.500
0.000 0.000 0.500
```

Values from the calculation:
Volume, Å³/atom: 25.33
SG: P4/mmm, No. 123


two:
Compound: HfAs2PdSe
Source: Alexandria
Functional: GGA-PBEsol
Structure: optimized geometry

Structure (POSCAR):
```
HfAs2PdSe
1.0
4.703 0.000 0.000
0.000 4.703 0.000
0.000 0.000 4.855
Hf As Pd Se
1 2 1 1
direct
0.000 0.000 0.000
0.000 0.500 0.500
0.500 0.000 0.500
0.500 0.500 0.500
0.500 0.500 0.000
```

Values from the calculation:
Volume, Å³/atom: 21.48
SG: P4/mmm, No. 123


The most stable of them is two.


one:
Compound: In2HgAs
Source: Alexandria
Functional: GGA-PBEsol
Structure: optimized geometry

Structure (POSCAR):
```
In2HgAs
1.0
4.038 0.000 0.000
-2.019 3.497 0.000
0.000 0.000 20.798
In Hg As
6 3 3
direct
0.000 0.000 0.242
0.000 0.000 0.758
0.333 0.667 0.425
0.333 0.667 0.908
0.667 0.333 0.092
0.667 0.333 0.575
0.000 0.000 0.000
0.333 0.667 0.667
0.667 0.333 0.333
0.000 0.000 0.500
0.333 0.667 0.167
0.667 0.333 0.833
```

Values from the calculation:
Volume, Å³/atom: 24.47
SG: R-3m, No. 166


two:
Compound: In2HgAs
Source: Alexandria
Functional: GGA-PBEsol
Structure: optimized geometry

Structure (POSCAR):
```
In2HgAs
1.0
4.741 0.000 0.000
0.000 4.741 0.000
0.000 0.000 8.242
In Hg As
4 2 2
direct
0.000 0.000 0.000
0.000 0.500 0.250
0.500 0.000 0.750
0.500 0.500 0.500
0.000 0.500 0.750
0.500 0.000 0.250
0.000 0.000 0.500
0.500 0.500 0.000
```

Values from the calculation:
Volume, Å³/atom: 23.16
SG: I-4m2, No. 119


The most stable of them is one.


one:
Compound: La2HgAs
Source: Alexandria
Functional: GGA-PBEsol
Structure: optimized geometry

Structure (POSCAR):
```
La2HgAs
1.0
4.079 0.000 0.000
0.000 4.734 0.000
0.000 0.000 10.824
La Hg As
4 2 2
direct
0.000 0.000 0.000
0.000 0.500 0.231
0.500 0.000 0.731
0.500 0.500 0.500
0.000 0.000 0.451
0.500 0.500 0.951
0.000 0.500 0.740
0.500 0.000 0.240
```

Values from the calculation:
Volume, Å³/atom: 26.12
SG: Imm2, No. 44


two:
Compound: La2HgAs
Source: Alexandria
Functional: GGA-PBEsol
Structure: optimized geometry

Structure (POSCAR):
```
La2HgAs
1.0
4.244 0.000 0.000
-2.122 3.676 0.000
0.000 0.000 23.209
La Hg As
6 3 3
direct
0.000 0.000 0.240
0.000 0.000 0.760
0.333 0.667 0.426
0.333 0.667 0.907
0.667 0.333 0.093
0.667 0.333 0.574
0.000 0.000 0.000
0.333 0.667 0.667
0.667 0.333 0.333
0.000 0.000 0.500
0.333 0.667 0.167
0.667 0.333 0.833
```

Values from the calculation:
Volume, Å³/atom: 30.17
SG: R-3m, No. 166


The most stable of them is two.


one:
Compound: La2HgAs
Source: Alexandria
Functional: GGA-PBEsol
Structure: optimized geometry

Structure (POSCAR):
```
La2HgAs
1.0
4.358 0.000 0.000
0.000 4.419 0.000
0.000 0.000 11.498
La Hg As
4 2 2
direct
0.000 0.000 0.000
0.000 0.500 0.500
0.500 0.000 0.276
0.500 0.500 0.776
0.500 0.000 0.555
0.500 0.500 0.055
0.000 0.000 0.732
0.000 0.500 0.232
```

Values from the calculation:
Volume, Å³/atom: 27.68
SG: Amm2, No. 38


two:
Compound: La2HgAs
Source: Alexandria
Functional: GGA-PBEsol
Structure: optimized geometry

Structure (POSCAR):
```
La2HgAs
1.0
7.483 0.000 0.000
0.000 7.483 0.000
0.000 0.000 7.483
La Hg As
8 4 4
direct
0.250 0.250 0.250
0.250 0.250 0.750
0.250 0.750 0.250
0.250 0.750 0.750
0.750 0.250 0.250
0.750 0.250 0.750
0.750 0.750 0.250
0.750 0.750 0.750
0.000 0.000 0.000
0.000 0.500 0.500
0.500 0.000 0.500
0.500 0.500 0.000
0.000 0.000 0.500
0.000 0.500 0.000
0.500 0.000 0.000
0.500 0.500 0.500
```

Values from the calculation:
Volume, Å³/atom: 26.19
SG: Fm-3m, No. 225


The most stable of them is one.